! Tl5In2 GGA-PBE optimized geometry; values from VASP
! energy of formation = 10 meV per atom
! total energy = -2.462 eV per atom
&SYSTEM
  ibrav = 0, nat = 7, ntyp = 2
/
ATOMIC_SPECIES
Tl 204.38 Tl.upf
In 114.82 In.upf
ATOMIC_POSITIONS angstrom
Tl 0.0000 0.0000 0.0000
Tl 0.0000 0.0000 6.5811
Tl 0.0000 0.0000 9.9221
Tl 0.0000 0.0000 13.1899
Tl 0.0000 0.0000 16.5309
In 0.0000 0.0000 3.3265
In 0.0000 0.0000 19.7855
CELL_PARAMETERS angstrom
2.7959 1.6142 7.7040
-2.7959 1.6142 7.7040
0.0000 -3.2284 7.7040